## K3VCu2F9 (GGA+U)

Data for a relaxed structure of K3VCu2F9.

Cell: 5.8606 5.8606 7.1815 Å, 90.00 90.00 120.00°
With the nearest neighbours (Å) after each atom.
Space group P-3m1 (No. 164)
Inequivalent atoms, fractional coordinates:
K (0.0000, 0.0000, 0.0000) [1 per cell]  12 F 2.93-2.95
K (0.3333, 0.6667, 0.6803) [2 per cell]  12 F 2.85-3.00
V (0.0000, 0.0000, 0.5000) [1 per cell]  6 F 2.01
Cu (0.3333, 0.6667, 0.1605) [2 per cell]  6 F 2.05-2.16
F (0.0000, 0.5000, 0.0000) [3 per cell]  2 Cu 2.05
F (0.1623, 0.3245, 0.3405) [6 per cell]  1 V 2.01, 1 Cu 2.16

## Properties
As for the final energy: -71.099 eV for the cell shown. Its spin magnetization is 3.4 Bohr magnetons per cell. For the density of states at the Fermi level, the calculation gives 0.65 states/eV per atom.